Entry 1
TcB2Cl: optimized geometry, PBE-GGA.

## Properties
spin magnetization = 0.0 μB per formula unit

Lattice parameters (Å, degrees): 5.1551 5.1551 9.6506 90.00 90.00 90.00
Space group I-42d (No. 122)
One atom of each set of equivalent atoms:
Tc 0.0000 0.0000 0.0000 (multiplicity 4)
B 0.1920 0.2500 0.1250 (multiplicity 8)
Cl 0.0000 0.0000 0.5000 (multiplicity 4)

---

Entry 2
TcB2Cl: optimized geometry, PBE-GGA.

## Properties
spin magnetization = 0.0 μB per formula unit

Lattice parameters (Å, degrees): 5.6192 5.6192 5.6192 90.00 90.00 90.00
Space group Fm-3m (No. 225)
One atom of each set of equivalent atoms:
Tc 0.0000 0.0000 0.0000 (multiplicity 4)
B 0.2500 0.2500 0.2500 (multiplicity 8)
Cl 0.0000 0.0000 0.5000 (multiplicity 4)

---

Most stable: entry 1. Least stable: entry 2.

---

Entry 1
Tc2BCl: optimized geometry, PBE-GGA.

## Properties
spin magnetization = 0.0 μB per formula unit

Lattice parameters (Å, degrees): 5.7745 5.7745 5.7745 90.00 90.00 90.00
Space group Fm-3m (No. 225)
One atom of each set of equivalent atoms:
Tc 0.2500 0.2500 0.2500 (multiplicity 8)
B 0.0000 0.0000 0.0000 (multiplicity 4)
Cl 0.0000 0.0000 0.5000 (multiplicity 4)

---

Entry 2
Tc2BCl: optimized geometry, PBE-GGA.

## Properties
spin magnetization = 0.0 μB per formula unit

Lattice parameters (Å, degrees): 5.1761 5.1761 9.3674 90.00 90.00 90.00
Space group I-42d (No. 122)
One atom of each set of equivalent atoms:
Tc 0.2091 0.2500 0.1250 (multiplicity 8)
B 0.0000 0.0000 0.0000 (multiplicity 4)
Cl 0.0000 0.0000 0.5000 (multiplicity 4)

---

Most stable: entry 2. Least stable: entry 1.

---

Entry 1
BTeCl3: optimized geometry, PBE-GGA.

## Properties
spin magnetization = 0.0 μB per formula unit

Lattice parameters (Å, degrees): 4.5659 4.5659 4.5659 90.00 90.00 90.00
Space group Pm-3m (No. 221)
One atom of each set of equivalent atoms:
B 0.0000 0.0000 0.0000 (multiplicity 1)
Te 0.5000 0.5000 0.5000 (multiplicity 1)
Cl 0.0000 0.0000 0.5000 (multiplicity 3)

---

Entry 2
BTeCl3: optimized geometry, PBE-GGA.

## Properties
spin magnetization = 0.5 μB per formula unit

Lattice parameters (Å, degrees): 5.4046 5.4046 5.4046 90.00 90.00 90.00
Space group Pm-3m (No. 221)
One atom of each set of equivalent atoms:
B 0.0000 0.0000 0.0000 (multiplicity 1)
Te 0.5000 0.5000 0.5000 (multiplicity 1)
Cl 0.0000 0.5000 0.5000 (multiplicity 3)

---

Most stable: entry 1. Least stable: entry 2.